The following is a PBE-GGA calculation of KIn2PdBr8 after structural relaxation, from Alexandria.

Lattice parameters (Å, degrees): 11.258 11.258 11.258 35.48 35.48 35.48
Atoms (fractional coordinates):
1 K 0.000 0.000 0.000
2 In 0.248 0.248 0.248
3 In 0.752 0.752 0.752
4 Pd 0.500 0.500 0.500
5 Br 0.137 0.421 0.767
6 Br 0.233 0.579 0.863
7 Br 0.329 0.329 0.329
8 Br 0.421 0.767 0.137
9 Br 0.579 0.863 0.233
10 Br 0.671 0.671 0.671
11 Br 0.767 0.137 0.421
12 Br 0.863 0.233 0.579


The following is a PBE-GGA calculation of K2PmInBr6 after structural relaxation, from Alexandria.

Lattice parameters (Å, degrees): 8.500 8.500 8.500 57.22 57.22 57.22
Atoms (fractional coordinates):
1 K 0.000 0.000 0.000
2 K 0.490 0.490 0.490
3 Pm 0.696 0.696 0.696
4 In 0.206 0.206 0.206
5 Br 0.044 0.450 0.812
6 Br 0.342 0.900 0.591
7 Br 0.450 0.812 0.044
8 Br 0.591 0.342 0.900
9 Br 0.812 0.044 0.450
10 Br 0.900 0.591 0.342


The following is a PBE-GGA calculation of KPmIn2Br6 after structural relaxation, from Alexandria.

Lattice parameters (Å, degrees): 8.453 8.453 8.453 57.84 57.84 57.84
Atoms (fractional coordinates):
1 K 0.000 0.000 0.000
2 Pm 0.508 0.508 0.508
3 In 0.204 0.204 0.204
4 In 0.709 0.709 0.709
5 Br 0.164 0.388 0.759
6 Br 0.314 0.864 0.610
7 Br 0.388 0.759 0.164
8 Br 0.610 0.314 0.864
9 Br 0.759 0.164 0.388
10 Br 0.864 0.610 0.314


The following is a PBE-GGA calculation of KPrIn2Br6 after structural relaxation, from Alexandria.

Lattice parameters (Å, degrees): 8.503 8.503 8.503 57.70 57.70 57.70
Atoms (fractional coordinates):
1 K 0.000 0.000 0.000
2 Pr 0.492 0.492 0.492
3 In 0.291 0.291 0.291
4 In 0.796 0.796 0.796
5 Br 0.132 0.685 0.391
6 Br 0.237 0.611 0.841
7 Br 0.391 0.132 0.685
8 Br 0.611 0.841 0.237
9 Br 0.685 0.391 0.132
10 Br 0.841 0.237 0.611


The following is a PBE-GGA calculation of KInPtBr2 after structural relaxation, from Alexandria.

Lattice parameters (Å, degrees): 5.731 5.731 5.156 90.00 90.00 90.00
Atoms (fractional coordinates):
1 K 0.000 0.000 0.000
2 In 0.500 0.500 0.500
3 Pt 0.500 0.500 0.000
4 Br 0.000 0.500 0.500
5 Br 0.500 0.000 0.500


The following is a PBE-GGA calculation of KPu2InBr8 after structural relaxation, from Alexandria.

Lattice parameters (Å, degrees): 7.096 8.884 7.575 90.00 92.48 90.00
Atoms (fractional coordinates):
1 K 0.000 0.000 0.000
2 Pu 0.500 0.251 0.500
3 Pu 0.500 0.749 0.500
4 In 0.000 0.500 0.000
5 Br 0.273 0.253 0.184
6 Br 0.273 0.747 0.184
7 Br 0.276 0.500 0.632
8 Br 0.277 0.000 0.632
9 Br 0.723 0.000 0.368
10 Br 0.724 0.500 0.368
11 Br 0.727 0.253 0.816
12 Br 0.727 0.747 0.816


| no. | DOS(E_F) (states/eV/f.u.) | formation energy without anion corrections (eV per atom) |
| --- | --- | --- |
| 1 | 6.7 | -0.741 |
| 2 | 0.0 | -1.599 |
| 3 | 0.0 | -1.377 |
| 4 | 0.0 | -1.375 |
| 5 | 2.8 | -0.408 |
| 6 | 24.4 | -1.402 |